YSeO3F, optimized geometry, DFT PBEsol; VASP energy = -7.1512 eV/atom; crystal system = monoclinic
1.0
6.569 0.000 0.000
0.000 6.826 0.000
-1.152 0.000 7.031
Y Se O F
4 4 12 4
Direct
0.139 0.141 0.324
0.139 0.359 0.824
0.861 0.641 0.176
0.861 0.859 0.676
0.355 0.617 0.292
0.355 0.883 0.792
0.645 0.117 0.208
0.645 0.383 0.708
0.175 0.036 0.648
0.175 0.464 0.148
0.176 0.696 0.784
0.176 0.804 0.284
0.488 0.190 0.363
0.488 0.310 0.863
0.512 0.690 0.137
0.512 0.810 0.637
0.824 0.196 0.716
0.824 0.304 0.216
0.825 0.536 0.852
0.825 0.964 0.352
0.172 0.110 0.024
0.172 0.390 0.524
0.828 0.610 0.476
0.828 0.890 0.976